1.
VASP calculation (PBE) on crystalline AlZnPS2 at its relaxed geometry.

SG	P4/mmm (123)
raw total energy	-2.890	eV/atom
calculated density	3.023	g/cm3

Unit cell a=4.5982 b=4.5982 c=4.8717 alpha=90.00 beta=90.00 gamma=90.00
Element x y z (fractional)
Al (0.0000, 0.0000, 0.0000)
Zn (0.0000, 0.0000, 0.5000)
P (0.5000, 0.5000, 0.0000)
S (0.0000, 0.5000, 0.5000)
S (0.5000, 0.0000, 0.5000)


2.
VASP calculation (PBE) on crystalline AlZnPS2 at its relaxed geometry.

SG	P4/mmm (123)
raw total energy	-3.380	eV/atom
calculated density	3.114	g/cm3

Unit cell a=4.5718 b=4.5718 c=4.7829 alpha=90.00 beta=90.00 gamma=90.00
Element x y z (fractional)
Al (0.0000, 0.0000, 0.0000)
Zn (0.5000, 0.5000, 0.5000)
P (0.0000, 0.0000, 0.5000)
S (0.0000, 0.5000, 0.0000)
S (0.5000, 0.0000, 0.0000)


3.
VASP calculation (PBE) on crystalline ZrAlPS2 at its relaxed geometry.

SG	P4/mmm (123)
raw total energy	-5.339	eV/atom
calculated density	2.799	g/cm3

Unit cell a=4.9550 b=4.9550 c=5.1545 alpha=90.00 beta=90.00 gamma=90.00
Element x y z (fractional)
Zr (0.0000, 0.0000, 0.0000)
Al (0.5000, 0.5000, 0.5000)
P (0.0000, 0.0000, 0.5000)
S (0.0000, 0.5000, 0.0000)
S (0.5000, 0.0000, 0.0000)


4.
VASP calculation (PBE) on crystalline ZrAlPS2 at its relaxed geometry.

SG	P4/mmm (123)
raw total energy	-5.356	eV/atom
calculated density	3.714	g/cm3

Unit cell a=4.5054 b=4.5054 c=4.6989 alpha=90.00 beta=90.00 gamma=90.00
Element x y z (fractional)
Zr (0.0000, 0.0000, 0.0000)
Al (0.5000, 0.5000, 0.5000)
P (0.5000, 0.5000, 0.0000)
S (0.0000, 0.5000, 0.5000)
S (0.5000, 0.0000, 0.5000)


5.
VASP calculation (PBE) on crystalline Al3SbP at its relaxed geometry.

SG	Pm-3m (221)
raw total energy	-3.074	eV/atom
calculated density	2.727	g/cm3

Unit cell a=5.2205 b=5.2205 c=5.2205 alpha=90.00 beta=90.00 gamma=90.00
Element x y z (fractional)
Al (0.0000, 0.0000, 0.5000)
Al (0.0000, 0.5000, 0.0000)
Al (0.5000, 0.0000, 0.0000)
Sb (0.0000, 0.0000, 0.0000)
P (0.5000, 0.5000, 0.5000)


6.
VASP calculation (PBE) on crystalline Al2SbP at its relaxed geometry.

SG	Pmm2 (25)
raw total energy	-4.350	eV/atom
calculated density	3.964	g/cm3

Unit cell a=3.6161 b=3.6327 c=6.5907 alpha=90.00 beta=90.00 gamma=90.00
Element x y z (fractional)
Al (0.0000, 0.0000, 0.0000)
Al (0.5000, 0.5000, 0.4106)
Sb (0.5000, 0.5000, 0.8334)
P (0.0000, 0.0000, 0.3557)


7.
VASP calculation (PBE) on crystalline Al2SbP at its relaxed geometry.

SG	P4/mmm (123)
raw total energy	-3.964	eV/atom
calculated density	4.518	g/cm3

Unit cell a=4.6015 b=4.6015 c=3.5882 alpha=90.00 beta=90.00 gamma=90.00
Element x y z (fractional)
Al (0.0000, 0.5000, 0.0000)
Al (0.5000, 0.0000, 0.0000)
Sb (0.0000, 0.0000, 0.5000)
P (0.5000, 0.5000, 0.5000)


8.
VASP calculation (PBE) on crystalline Al2SbP at its relaxed geometry.

SG	P4/mmm (123)
raw total energy	-4.125	eV/atom
calculated density	4.537	g/cm3

Unit cell a=3.2426 b=3.2426 c=7.1941 alpha=90.00 beta=90.00 gamma=90.00
Element x y z (fractional)
Al (0.0000, 0.0000, 0.1924)
Al (0.0000, 0.0000, 0.8076)
Sb (0.5000, 0.5000, 0.5000)
P (0.5000, 0.5000, 0.0000)


9.
VASP calculation (PBE) on crystalline AlSbP at its relaxed geometry.

SG	C2/m (12)
raw total energy	-4.570	eV/atom
calculated density	4.446	g/cm3

Unit cell a=6.7743 b=3.9200 c=10.3624 alpha=90.00 beta=102.63 gamma=90.00
Element x y z (fractional)
Al (0.0999, 0.0000, 0.3000)
Al (0.4001, 0.5000, 0.7000)
Al (0.5999, 0.5000, 0.3000)
Al (0.9001, 0.0000, 0.7000)
Sb (0.1987, 0.5000, 0.0939)
Sb (0.3013, 0.0000, 0.9061)
Sb (0.6987, 0.0000, 0.0939)
Sb (0.8013, 0.5000, 0.9061)
P (0.0368, 0.5000, 0.6108)
P (0.4632, 0.0000, 0.3892)
P (0.5368, 0.0000, 0.6108)
P (0.9632, 0.5000, 0.3892)


10.
VASP calculation (PBE) on crystalline AlSbP at its relaxed geometry.

SG	I4mm (107)
raw total energy	-4.408	eV/atom
calculated density	4.472	g/cm3

Unit cell a=3.4712 b=3.4712 c=11.0770 alpha=90.00 beta=90.00 gamma=90.00
Element x y z (fractional)
Al (0.0000, 0.0000, 0.0000)
Al (0.5000, 0.5000, 0.5000)
Sb (0.0000, 0.0000, 0.3111)
Sb (0.5000, 0.5000, 0.8111)
P (0.0000, 0.0000, 0.5444)
P (0.5000, 0.5000, 0.0444)


11.
VASP calculation (PBE) on crystalline Al2SbP at its relaxed geometry.

SG	I-42d (122)
raw total energy	-4.607	eV/atom
calculated density	3.425	g/cm3

Unit cell a=5.8693 b=5.8693 c=11.6353 alpha=90.00 beta=90.00 gamma=90.00
Element x y z (fractional)
Al (0.2108, 0.2500, 0.1250)
Al (0.2500, 0.7108, 0.3750)
Al (0.2500, 0.7892, 0.8750)
Al (0.2892, 0.2500, 0.6250)
Al (0.7108, 0.7500, 0.6250)
Al (0.7500, 0.2108, 0.8750)
Al (0.7500, 0.2892, 0.3750)
Al (0.7892, 0.7500, 0.1250)
Sb (0.0000, 0.0000, 0.5000)
Sb (0.0000, 0.5000, 0.7500)
Sb (0.5000, 0.0000, 0.2500)
Sb (0.5000, 0.5000, 0.0000)
P (0.0000, 0.0000, 0.0000)
P (0.0000, 0.5000, 0.2500)
P (0.5000, 0.0000, 0.7500)
P (0.5000, 0.5000, 0.5000)


12.
VASP calculation (PBE) on crystalline AlSbP at its relaxed geometry.

SG	F-43m (216)
raw total energy	-4.090	eV/atom
calculated density	4.447	g/cm3

Unit cell a=6.4507 b=6.4507 c=6.4507 alpha=90.00 beta=90.00 gamma=90.00
Element x y z (fractional)
Al (0.0000, 0.0000, 0.0000)
Al (0.0000, 0.5000, 0.5000)
Al (0.5000, 0.0000, 0.5000)
Al (0.5000, 0.5000, 0.0000)
Sb (0.2500, 0.2500, 0.7500)
Sb (0.2500, 0.7500, 0.2500)
Sb (0.7500, 0.2500, 0.2500)
Sb (0.7500, 0.7500, 0.7500)
P (0.2500, 0.2500, 0.2500)
P (0.2500, 0.7500, 0.7500)
P (0.7500, 0.2500, 0.7500)
P (0.7500, 0.7500, 0.2500)


13.
VASP calculation (PBE) on crystalline Al2SbP at its relaxed geometry.

SG	Cm (8)
raw total energy	-4.379	eV/atom
calculated density	3.974	g/cm3

Unit cell a=7.2711 b=3.5514 c=6.6892 alpha=90.00 beta=90.08 gamma=90.00
Element x y z (fractional)
Al (0.0000, 0.0000, 0.0000)
Al (0.1729, 0.0000, 0.5764)
Al (0.5000, 0.5000, 0.0000)
Al (0.6729, 0.5000, 0.5764)
Sb (0.2062, 0.5000, 0.2384)
Sb (0.7062, 0.0000, 0.2384)
P (0.4770, 0.0000, 0.7357)
P (0.9770, 0.5000, 0.7357)


14.
VASP calculation (PBE) on crystalline Al2SbP at its relaxed geometry.

SG	Pmmm (47)
raw total energy	-3.948	eV/atom
calculated density	4.437	g/cm3

Unit cell a=3.5131 b=4.6366 c=4.7490 alpha=90.00 beta=90.00 gamma=90.00
Element x y z (fractional)
Al (0.0000, 0.0000, 0.0000)
Al (0.5000, 0.5000, 0.0000)
Sb (0.0000, 0.5000, 0.5000)
P (0.5000, 0.0000, 0.5000)


15.
VASP calculation (PBE) on crystalline Al2SbP at its relaxed geometry.

SG	R3m (160)
raw total energy	-4.149	eV/atom
calculated density	4.110	g/cm3

Unit cell a=3.6879 b=3.6879 c=21.2713 alpha=90.00 beta=90.00 gamma=120.00
Element x y z (fractional)
Al (0.0000, 0.0000, 0.0000)
Al (0.0000, 0.0000, 0.2415)
Al (0.3333, 0.6667, 0.6667)
Al (0.3333, 0.6667, 0.9081)
Al (0.6667, 0.3333, 0.3333)
Al (0.6667, 0.3333, 0.5748)
Sb (0.0000, 0.0000, 0.4827)
Sb (0.3333, 0.6667, 0.1493)
Sb (0.6667, 0.3333, 0.8160)
P (0.0000, 0.0000, 0.7220)
P (0.3333, 0.6667, 0.3887)
P (0.6667, 0.3333, 0.0554)


16.
VASP calculation (PBE) on crystalline Al2SbP at its relaxed geometry.

SG	P-4m2 (115)
raw total energy	-4.567	eV/atom
calculated density	3.407	g/cm3

Unit cell a=4.1411 b=4.1411 c=5.8752 alpha=90.00 beta=90.00 gamma=90.00
Element x y z (fractional)
Al (0.0000, 0.5000, 0.2214)
Al (0.5000, 0.0000, 0.7786)
Sb (0.0000, 0.0000, 0.5000)
P (0.5000, 0.5000, 0.0000)


17.
VASP calculation (PBE) on crystalline Al2SbP at its relaxed geometry.

SG	F-43m (216)
raw total energy	-3.885	eV/atom
calculated density	4.351	g/cm3

Unit cell a=6.8080 b=6.8080 c=6.8080 alpha=90.00 beta=90.00 gamma=90.00
Element x y z (fractional)
Al (0.0000, 0.0000, 0.0000)
Al (0.0000, 0.5000, 0.5000)
Al (0.2500, 0.2500, 0.2500)
Al (0.2500, 0.7500, 0.7500)
Al (0.5000, 0.0000, 0.5000)
Al (0.5000, 0.5000, 0.0000)
Al (0.7500, 0.2500, 0.7500)
Al (0.7500, 0.7500, 0.2500)
Sb (0.2500, 0.2500, 0.7500)
Sb (0.2500, 0.7500, 0.2500)
Sb (0.7500, 0.2500, 0.2500)
Sb (0.7500, 0.7500, 0.7500)
P (0.0000, 0.0000, 0.5000)
P (0.0000, 0.5000, 0.0000)
P (0.5000, 0.0000, 0.0000)
P (0.5000, 0.5000, 0.5000)


18.
VASP calculation (PBE) on crystalline AlSbP3 at its relaxed geometry.

SG	Pm-3m (221)
raw total energy	-4.216	eV/atom
calculated density	3.938	g/cm3

Unit cell a=4.6708 b=4.6708 c=4.6708 alpha=90.00 beta=90.00 gamma=90.00
Element x y z (fractional)
Al (0.0000, 0.0000, 0.0000)
Sb (0.5000, 0.5000, 0.5000)
P (0.0000, 0.0000, 0.5000)
P (0.0000, 0.5000, 0.0000)
P (0.5000, 0.0000, 0.0000)


19.
VASP calculation (PBE) on crystalline Al2SbP at its relaxed geometry.

SG	P2/m (10)
raw total energy	-4.210	eV/atom
calculated density	4.174	g/cm3

Unit cell a=4.9183 b=3.6116 c=4.9312 alpha=90.00 beta=110.13 gamma=90.00
Element x y z (fractional)
Al (0.2120, 0.0000, 0.2882)
Al (0.7880, 0.0000, 0.7118)
Sb (0.5000, 0.5000, 0.0000)
P (0.0000, 0.5000, 0.5000)


20.
VASP calculation (PBE) on crystalline Al3SbP at its relaxed geometry.

SG	Pm-3m (221)
raw total energy	-3.904	eV/atom
calculated density	3.575	g/cm3

Unit cell a=4.7700 b=4.7700 c=4.7700 alpha=90.00 beta=90.00 gamma=90.00
Element x y z (fractional)
Al (0.0000, 0.0000, 0.5000)
Al (0.0000, 0.5000, 0.0000)
Al (0.5000, 0.0000, 0.0000)
Sb (0.5000, 0.5000, 0.5000)
P (0.0000, 0.0000, 0.0000)


21.
VASP calculation (PBE) on crystalline Al2SbP at its relaxed geometry.

SG	Imm2 (44)
raw total energy	-4.247	eV/atom
calculated density	4.254	g/cm3

Unit cell a=3.3562 b=3.5063 c=13.7117 alpha=90.00 beta=90.00 gamma=90.00
Element x y z (fractional)
Al (0.0000, 0.0000, 0.0000)
Al (0.0000, 0.5000, 0.1856)
Al (0.5000, 0.0000, 0.6856)
Al (0.5000, 0.5000, 0.5000)
Sb (0.0000, 0.5000, 0.8173)
Sb (0.5000, 0.0000, 0.3173)
P (0.0000, 0.0000, 0.5533)
P (0.5000, 0.5000, 0.0533)


22.
VASP calculation (PBE) on crystalline Al2SbP at its relaxed geometry.

SG	C2/m (12)
raw total energy	-4.089	eV/atom
calculated density	4.100	g/cm3

Unit cell a=5.6885 b=7.6305 c=4.6459 alpha=90.00 beta=123.87 gamma=90.00
Element x y z (fractional)
Al (0.2500, 0.2500, 0.0000)
Al (0.2500, 0.7500, 0.0000)
Al (0.7500, 0.2500, 0.0000)
Al (0.7500, 0.7500, 0.0000)
Sb (0.0000, 0.0000, 0.5000)
Sb (0.5000, 0.5000, 0.5000)
P (0.0000, 0.5000, 0.5000)
P (0.5000, 0.0000, 0.5000)


23.
VASP calculation (PBE) on crystalline Al2SbP at its relaxed geometry.

SG	Fm-3m (225)
raw total energy	-3.971	eV/atom
calculated density	4.510	g/cm3

Unit cell a=6.7272 b=6.7272 c=6.7272 alpha=90.00 beta=90.00 gamma=90.00
Element x y z (fractional)
Al (0.2500, 0.2500, 0.2500)
Al (0.2500, 0.2500, 0.7500)
Al (0.2500, 0.7500, 0.2500)
Al (0.2500, 0.7500, 0.7500)
Al (0.7500, 0.2500, 0.2500)
Al (0.7500, 0.2500, 0.7500)
Al (0.7500, 0.7500, 0.2500)
Al (0.7500, 0.7500, 0.7500)
Sb (0.0000, 0.0000, 0.0000)
Sb (0.0000, 0.5000, 0.5000)
Sb (0.5000, 0.0000, 0.5000)
Sb (0.5000, 0.5000, 0.0000)
P (0.0000, 0.0000, 0.5000)
P (0.0000, 0.5000, 0.0000)
P (0.5000, 0.0000, 0.0000)
P (0.5000, 0.5000, 0.5000)


24.
VASP calculation (PBE) on crystalline AlSbP at its relaxed geometry.

SG	F-43m (216)
raw total energy	-3.874	eV/atom
calculated density	4.079	g/cm3

Unit cell a=6.6392 b=6.6392 c=6.6392 alpha=90.00 beta=90.00 gamma=90.00
Element x y z (fractional)
Al (0.0000, 0.0000, 0.0000)
Al (0.0000, 0.5000, 0.5000)
Al (0.5000, 0.0000, 0.5000)
Al (0.5000, 0.5000, 0.0000)
Sb (0.2500, 0.2500, 0.2500)
Sb (0.2500, 0.7500, 0.7500)
Sb (0.7500, 0.2500, 0.7500)
Sb (0.7500, 0.7500, 0.2500)
P (0.0000, 0.0000, 0.5000)
P (0.0000, 0.5000, 0.0000)
P (0.5000, 0.0000, 0.0000)
P (0.5000, 0.5000, 0.5000)


25.
VASP calculation (PBE) on crystalline AlSbP at its relaxed geometry.

SG	P3m1 (156)
raw total energy	-4.400	eV/atom
calculated density	4.722	g/cm3

Unit cell a=3.7519 b=3.7519 c=5.1844 alpha=90.00 beta=90.00 gamma=120.00
Element x y z (fractional)
Al (0.0000, 0.0000, 0.0000)
Sb (0.3333, 0.6667, 0.6050)
P (0.6667, 0.3333, 0.2178)


26.
VASP calculation (PBE) on crystalline Al2SbP at its relaxed geometry.

SG	C2/m (12)
raw total energy	-4.378	eV/atom
calculated density	4.311	g/cm3

Unit cell a=6.3831 b=3.7121 c=7.0711 alpha=90.00 beta=108.11 gamma=90.00
Element x y z (fractional)
Al (0.2360, 0.0000, 0.2051)
Al (0.2640, 0.5000, 0.7949)
Al (0.7360, 0.5000, 0.2051)
Al (0.7640, 0.0000, 0.7949)
Sb (0.0000, 0.0000, 0.5000)
Sb (0.5000, 0.5000, 0.5000)
P (0.0000, 0.5000, 0.0000)
P (0.5000, 0.0000, 0.0000)


27.
VASP calculation (PBE) on crystalline Al2SbP at its relaxed geometry.

SG	Immm (71)
raw total energy	-4.071	eV/atom
calculated density	4.425	g/cm3

Unit cell a=3.3607 b=4.9939 c=9.2438 alpha=90.00 beta=90.00 gamma=90.00
Element x y z (fractional)
Al (0.0000, 0.0000, 0.2068)
Al (0.0000, 0.0000, 0.7932)
Al (0.5000, 0.5000, 0.2932)
Al (0.5000, 0.5000, 0.7068)
Sb (0.0000, 0.5000, 0.0000)
Sb (0.5000, 0.0000, 0.5000)
P (0.0000, 0.5000, 0.5000)
P (0.5000, 0.0000, 0.0000)


28.
VASP calculation (PBE) on crystalline Al2SbP at its relaxed geometry.

SG	Cmmm (65)
raw total energy	-4.102	eV/atom
calculated density	4.279	g/cm3

Unit cell a=3.7875 b=5.6511 c=7.4952 alpha=90.00 beta=90.00 gamma=90.00
Element x y z (fractional)
Al (0.0000, 0.0000, 0.2087)
Al (0.0000, 0.0000, 0.7913)
Al (0.5000, 0.5000, 0.2087)
Al (0.5000, 0.5000, 0.7913)
Sb (0.0000, 0.5000, 0.5000)
Sb (0.5000, 0.0000, 0.5000)
P (0.0000, 0.5000, 0.0000)
P (0.5000, 0.0000, 0.0000)


29.
VASP calculation (PBE) on crystalline Al2SbP at its relaxed geometry.

SG	I-4m2 (119)
raw total energy	-3.980	eV/atom
calculated density	4.328	g/cm3

Unit cell a=3.8535 b=3.8535 c=10.6812 alpha=90.00 beta=90.00 gamma=90.00
Element x y z (fractional)
Al (0.0000, 0.0000, 0.0000)
Al (0.0000, 0.5000, 0.2500)
Al (0.5000, 0.0000, 0.7500)
Al (0.5000, 0.5000, 0.5000)
Sb (0.0000, 0.0000, 0.5000)
Sb (0.5000, 0.5000, 0.0000)
P (0.0000, 0.5000, 0.7500)
P (0.5000, 0.0000, 0.2500)


30.
VASP calculation (PBE) on crystalline AlSb4P at its relaxed geometry.

SG	F-43m (216)
raw total energy	-3.595	eV/atom
calculated density	5.536	g/cm3

Unit cell a=6.1374 b=6.1374 c=6.1374 alpha=60.00 beta=60.00 gamma=60.00
Element x y z (fractional)
Al (0.0000, 0.0000, 0.0000)
Sb (0.3754, 0.3754, 0.3754)
Sb (0.3754, 0.3754, 0.8739)
Sb (0.3754, 0.8739, 0.3754)
Sb (0.8739, 0.3754, 0.3754)
P (0.7500, 0.7500, 0.7500)